MnFeNi2 | PBE | relaxed

Summary:
crystal system: tetragonal
DOS at the Fermi energy: 2.7 states/eV per cell
raw total energy: -7.2797 eV per atom
formation energy from the elements: 19 meV per atom
space-group type: No. 119

Geometry as POSCAR:
```
MnFeNi2
1.0
-1.780 1.780 3.726
1.780 -1.780 3.726
1.780 1.780 -3.726
Mn Fe Ni
1 1 2
Cartesian
0.000 0.000 0.000
1.780 0.000 1.863
0.000 0.000 3.726
0.000 1.780 1.863
```